Version P
Here is a geometry-optimized Re2SnBi structure from Alexandria. Energies are from GGA-PBE.

Unit cell a=6.1945 b=6.1945 c=6.1945 alpha=102.00 beta=102.00 gamma=125.74
Atoms (fractional coordinates):
1 Re 0.1033 0.6250 0.9783
2 Re 0.3750 0.3533 0.4783
3 Re 0.6467 0.1250 0.0217
4 Re 0.8750 0.8967 0.5217
5 Sn 0.0000 0.0000 0.0000
6 Sn 0.7500 0.2500 0.5000
7 Bi 0.2500 0.7500 0.5000
8 Bi 0.5000 0.5000 0.0000

Computed properties:
- V: 21.5 Å³ per atom
- DOS(E_F): 1.42 states/eV per atom
- Space group: I-42d, No. 122

=====

Version Q
Here is a geometry-optimized Re2SnBi structure from Alexandria. Energies are from GGA-PBE.

Unit cell a=4.7146 b=4.7146 c=4.7146 alpha=60.00 beta=60.00 gamma=60.00
Atoms (fractional coordinates):
1 Re 0.2500 0.2500 0.2500
2 Re 0.7500 0.7500 0.7500
3 Sn 0.0000 0.0000 0.0000
4 Bi 0.5000 0.5000 0.5000

Computed properties:
- V: 18.5 Å³ per atom
- DOS(E_F): 0.72 states/eV per atom
- Space group: Fm-3m, No. 225

=====

Tell me which of them is the least stable. Sure, it is version P.

=====

Version P
Here is a geometry-optimized SrRe3Bi structure from Alexandria. Energies are from GGA-PBE.

Unit cell a=5.0966 b=5.0966 c=5.0966 alpha=90.00 beta=90.00 gamma=90.00
Atoms (fractional coordinates):
1 Sr 0.0000 0.0000 0.0000
2 Re 0.0000 0.5000 0.5000
3 Re 0.5000 0.0000 0.5000
4 Re 0.5000 0.5000 0.0000
5 Bi 0.5000 0.5000 0.5000

Computed properties:
- V: 26.5 Å³ per atom
- DOS(E_F): 1.36 states/eV per atom
- Space group: Pm-3m, No. 221

=====

Version Q
Here is a geometry-optimized SrRe3Bi structure from Alexandria. Energies are from GGA-PBE.

Unit cell a=4.9115 b=4.9115 c=4.9115 alpha=90.00 beta=90.00 gamma=90.00
Atoms (fractional coordinates):
1 Sr 0.0000 0.0000 0.0000
2 Re 0.0000 0.0000 0.5000
3 Re 0.0000 0.5000 0.0000
4 Re 0.5000 0.0000 0.0000
5 Bi 0.5000 0.5000 0.5000

Computed properties:
- V: 23.7 Å³ per atom
- DOS(E_F): 1.08 states/eV per atom
- Space group: Pm-3m, No. 221

=====

Tell me which of them is the least stable. Sure, it is version Q.

=====

Version P
Here is a geometry-optimized SrReBi2 structure from Alexandria. Energies are from GGA-PBE.

Unit cell a=5.1768 b=5.1768 c=5.1768 alpha=60.00 beta=60.00 gamma=60.00
Atoms (fractional coordinates):
1 Sr 0.0000 0.0000 0.0000
2 Re 0.5000 0.5000 0.5000
3 Bi 0.2500 0.2500 0.2500
4 Bi 0.7500 0.7500 0.7500

Computed properties:
- V: 24.5 Å³ per atom
- DOS(E_F): 0.62 states/eV per atom
- Space group: Fm-3m, No. 225

=====

Version Q
Here is a geometry-optimized SrReBi2 structure from Alexandria. Energies are from GGA-PBE.

Unit cell a=6.8770 b=6.8770 c=6.8770 alpha=104.20 beta=104.20 gamma=120.62
Atoms (fractional coordinates):
1 Sr 0.0000 0.0000 0.0000
2 Sr 0.7500 0.2500 0.5000
3 Re 0.2500 0.7500 0.5000
4 Re 0.5000 0.5000 0.0000
5 Bi 0.1942 0.1250 0.5692
6 Bi 0.3750 0.8058 0.9308
7 Bi 0.5558 0.6250 0.4308
8 Bi 0.8750 0.4442 0.0692

Computed properties:
- V: 30.4 Å³ per atom
- DOS(E_F): 0.80 states/eV per atom
- Space group: I-42d, No. 122

=====

Tell me which of them is the least stable. Sure, it is version P.

=====

Version P
Here is a geometry-optimized Sr2Re2Bi structure from Alexandria. Energies are from GGA-PBE.

Unit cell a=9.4817 b=9.4817 c=2.8739 alpha=90.00 beta=90.00 gamma=90.00
Atoms (fractional coordinates):
1 Sr 0.1265 0.3735 0.0000
2 Sr 0.3735 0.8735 0.0000
3 Sr 0.6265 0.1265 0.0000
4 Sr 0.8735 0.6265 0.0000
5 Re 0.1738 0.6738 0.5000
6 Re 0.3262 0.1738 0.5000
7 Re 0.6738 0.8262 0.5000
8 Re 0.8262 0.3262 0.5000
9 Bi 0.0000 0.0000 0.0000
10 Bi 0.5000 0.5000 0.0000

Computed properties:
- V: 25.8 Å³ per atom
- DOS(E_F): 1.20 states/eV per atom
- Space group: P4/mbm, No. 127

=====

Version Q
Here is a geometry-optimized Sr2Re2Bi structure from Alexandria. Energies are from GGA-PBE.

Unit cell a=10.7448 b=10.7448 c=10.7448 alpha=160.54 beta=160.54 gamma=27.65
Atoms (fractional coordinates):
1 Sr 0.1189 0.1189 0.0000
2 Sr 0.8811 0.8811 0.0000
3 Re 0.2500 0.7500 0.5000
4 Re 0.7500 0.2500 0.5000
5 Bi 0.5000 0.5000 0.0000

Computed properties:
- V: 27.5 Å³ per atom
- DOS(E_F): 0.54 states/eV per atom
- Space group: I4/mmm, No. 139

=====

Tell me which of them is the least stable. Sure, it is version P.

=====

Version P
Here is a geometry-optimized TaReBi2 structure from Alexandria. Energies are from GGA-PBE.

Unit cell a=7.7159 b=7.7159 c=7.7159 alpha=130.27 beta=130.27 gamma=72.97
Atoms (fractional coordinates):
1 Ta 0.0000 0.0000 0.0000
2 Ta 0.7500 0.2500 0.5000
3 Re 0.2500 0.7500 0.5000
4 Re 0.5000 0.5000 0.0000
5 Bi 0.1381 0.6250 0.0131
6 Bi 0.3750 0.3881 0.5131
7 Bi 0.6119 0.1250 0.9869
8 Bi 0.8750 0.8619 0.4869

Computed properties:
- V: 32.6 Å³ per atom
- DOS(E_F): 1.42 states/eV per atom
- Space group: I-42d, No. 122

=====

Version Q
Here is a geometry-optimized TaReBi2 structure from Alexandria. Energies are from GGA-PBE.

Unit cell a=4.9040 b=4.9040 c=4.9040 alpha=60.00 beta=60.00 gamma=60.00
Atoms (fractional coordinates):
1 Ta 0.0000 0.0000 0.0000
2 Re 0.5000 0.5000 0.5000
3 Bi 0.2500 0.2500 0.2500
4 Bi 0.7500 0.7500 0.7500

Computed properties:
- V: 20.8 Å³ per atom
- DOS(E_F): 1.20 states/eV per atom
- Space group: Fm-3m, No. 225

=====

Tell me which of them is the least stable. Sure, it is version P.

=====

Version P
Here is a geometry-optimized TaRe3Bi structure from Alexandria. Energies are from GGA-PBE.

Unit cell a=4.8488 b=4.8488 c=4.8488 alpha=90.00 beta=90.00 gamma=90.00
Atoms (fractional coordinates):
1 Ta 0.0000 0.0000 0.0000
2 Re 0.0000 0.0000 0.5000
3 Re 0.0000 0.5000 0.0000
4 Re 0.5000 0.0000 0.0000
5 Bi 0.5000 0.5000 0.5000

Computed properties:
- V: 22.8 Å³ per atom
- DOS(E_F): 1.07 states/eV per atom
- Space group: Pm-3m, No. 221

=====

Version Q
Here is a geometry-optimized TaRe3Bi structure from Alexandria. Energies are from GGA-PBE.

Unit cell a=4.8453 b=4.8453 c=4.8453 alpha=90.00 beta=90.00 gamma=90.00
Atoms (fractional coordinates):
1 Ta 0.0000 0.0000 0.0000
2 Re 0.0000 0.5000 0.5000
3 Re 0.5000 0.0000 0.5000
4 Re 0.5000 0.5000 0.0000
5 Bi 0.5000 0.5000 0.5000

Computed properties:
- V: 22.8 Å³ per atom
- DOS(E_F): 0.91 states/eV per atom
- Space group: Pm-3m, No. 221

=====

Tell me which of them is the least stable. Sure, it is version Q.